Material: K2PrVS4
Method: DFT, GGA-PBE
State: relaxed

Properties
Total magnetization   2.0 μB/f.u.
Formation energy from raw total energies   -1.2451 eV per atom

Geometry as CIF:
```
data_K2PrVS4
_space_group_name_H-M_alt 'I -4'
_space_group_IT_number 82
_cell_length_a 7.218
_cell_length_b 7.218
_cell_length_c 9.579
_cell_angle_alpha 90.00
_cell_angle_beta 90.00
_cell_angle_gamma 90.00
loop_
_space_group_symop_operation_xyz
'x,y,z'
'y,-x,-z'
'-x,-y,z'
'-y,x,-z'
'x+1/2,y+1/2,z+1/2'
'y+1/2,-x+1/2,-z+1/2'
'-x+1/2,-y+1/2,z+1/2'
'-y+1/2,x+1/2,-z+1/2'
loop_
_atom_site_label
_atom_site_type_symbol
_atom_site_fract_x
_atom_site_fract_y
_atom_site_fract_z
K1 K 0.000 0.000 0.000
K2 K 0.000 0.500 0.250
Pr1 Pr 0.000 0.000 0.500
V1 V 0.000 0.500 0.750
S1 S 0.177 0.723 0.639
```


Material: K3PrY2S6
Method: DFT, GGA-PBE
State: relaxed

Properties
Total magnetization   0.0 μB/f.u.
Formation energy from raw total energies   -1.8721 eV per atom

Geometry as CIF:
```
data_K3PrY2S6
_space_group_name_H-M_alt 'C 1 2/m 1'
_space_group_IT_number 12
_cell_length_a 7.127
_cell_length_b 12.345
_cell_length_c 7.760
_cell_angle_alpha 90.00
_cell_angle_beta 107.85
_cell_angle_gamma 90.00
loop_
_space_group_symop_operation_xyz
'x,y,z'
'-x,-y,-z'
'-x,y,-z'
'x,-y,z'
'x+1/2,y+1/2,z'
'-x+1/2,-y+1/2,-z'
'-x+1/2,y+1/2,-z'
'x+1/2,-y+1/2,z'
loop_
_atom_site_label
_atom_site_type_symbol
_atom_site_fract_x
_atom_site_fract_y
_atom_site_fract_z
K1 K 0.000 0.000 0.000
K2 K 0.000 0.334 0.000
Pr1 Pr 0.000 0.500 0.500
Y1 Y 0.000 0.167 0.500
S1 S 0.225 0.000 0.704
S2 S 0.240 0.329 0.704
```


Material: KPrY4S8
Method: DFT, GGA-PBE
State: relaxed

Properties
Total magnetization   0.0 μB/f.u.
Formation energy from raw total energies   -1.9257 eV per atom

Geometry as CIF:
```
data_KPrY4S8
_space_group_name_H-M_alt 'R 3 m'
_space_group_IT_number 160
_space_group_name_Hall 'R 3 -2"'
_cell_length_a 8.2289
_cell_length_b 8.2289
_cell_length_c 20.6161
_cell_angle_alpha 90.00
_cell_angle_beta 90.00
_cell_angle_gamma 120.00
loop_
_atom_site_label
_atom_site_type_symbol
_atom_site_fract_x
_atom_site_fract_y
_atom_site_fract_z
K1 K 0.0000 0.0000 0.0000
Pr1 Pr 0.0000 0.0000 0.3671
Y1 Y 0.0000 0.0000 0.7458
Y2 Y 0.0116 0.5058 0.8729
S1 S 0.0000 0.0000 0.1390
S2 S 0.0000 0.0000 0.6142
S3 S 0.0144 0.5072 0.1262
S4 S 0.1856 0.3713 0.9458
```


Material: KPr2YS4
Method: DFT, GGA-PBE
State: relaxed

Properties
Total magnetization   0.0 μB/f.u.
Formation energy from raw total energies   -1.8683 eV per atom

Geometry as CIF:
```
data_KPr2YS4
_space_group_name_H-M_alt 'P 1 2/m 1'
_space_group_IT_number 10
_cell_length_a 7.140
_cell_length_b 4.077
_cell_length_c 7.184
_cell_angle_alpha 90.00
_cell_angle_beta 108.77
_cell_angle_gamma 90.00
loop_
_space_group_symop_operation_xyz
'x,y,z'
'-x,-y,-z'
'-x,y,-z'
'x,-y,z'
loop_
_atom_site_label
_atom_site_type_symbol
_atom_site_fract_x
_atom_site_fract_y
_atom_site_fract_z
K1 K 0.000 0.000 0.000
Pr1 Pr 0.500 0.000 0.500
Pr2 Pr 0.500 0.500 0.000
Y1 Y 0.000 0.500 0.500
S1 S 0.242 0.000 0.735
S2 S 0.256 0.500 0.268
```